1.
# Na4Pa3CrS8, optimized geometry, DFT PBE-GGA
data_Na4Pa3CrS8
_space_group_name_H-M_alt 'P 1'
_space_group_IT_number 1
_space_group_name_Hall 'P 1'
_cell_length_a 8.163
_cell_length_b 8.163
_cell_length_c 8.163
_cell_angle_alpha 56.54
_cell_angle_beta 56.54
_cell_angle_gamma 56.54
loop_
_atom_site_label
_atom_site_fract_x
_atom_site_fract_y
_atom_site_fract_z
Na1 0.000 0.000 0.000
Na2 0.000 0.500 0.500
Na3 0.500 0.000 0.500
Na4 0.500 0.500 0.000
Pa1 0.000 0.000 0.500
Pa2 0.000 0.500 0.000
Pa3 0.500 0.000 0.000
Cr1 0.500 0.500 0.500
S1 0.247 0.247 0.247
S2 0.253 0.736 0.736
S3 0.264 0.264 0.747
S4 0.264 0.747 0.264
S5 0.736 0.253 0.736
S6 0.736 0.736 0.253
S7 0.747 0.264 0.264
S8 0.753 0.753 0.753
# space-group type	No. 166

2.
# Na2PaCr2S6, optimized geometry, DFT PBE-GGA
data_Na2PaCr2S6
_space_group_name_H-M_alt 'P 1'
_space_group_IT_number 1
_space_group_name_Hall 'P 1'
_cell_length_a 6.348
_cell_length_b 6.348
_cell_length_c 7.131
_cell_angle_alpha 98.36
_cell_angle_beta 98.36
_cell_angle_gamma 120.56
loop_
_atom_site_label
_atom_site_fract_x
_atom_site_fract_y
_atom_site_fract_z
Na1 0.164 0.836 0.000
Na2 0.836 0.164 0.000
Pa1 0.000 0.000 0.500
Cr1 0.333 0.667 0.500
Cr2 0.667 0.333 0.500
S1 0.063 0.422 0.706
S2 0.291 0.291 0.293
S3 0.422 0.063 0.706
S4 0.578 0.937 0.294
S5 0.709 0.709 0.707
S6 0.937 0.578 0.294
# space-group type	No. 12

no.,calculated total energy (eV per atom),total moment (μB per formula unit),formation energy from raw total energies (kJ per mole of atoms)
1,-6.089,0.10,-126.7
2,-6.249,7.05,-110.4